# PBE BaGaAg2Pt, relaxed
# volume	26.91	A^3/atom
# total moment	0.00	μB per formula unit
# space-group type	P4/mmm (123)
# ΔH_f (0 K)	-0.306	eV per atom
data_BaGaAg2Pt
_chemical_formula_sum 'Ba1 Ga1 Ag2 Pt1'
_symmetry_space_group_name_H-M 'P 1'
_symmetry_Int_Tables_number 1
_cell_length_a 5.3280
_cell_length_b 5.3280
_cell_length_c 4.7390
_cell_angle_alpha 90.00
_cell_angle_beta 90.00
_cell_angle_gamma 90.00
loop_
_symmetry_equiv_pos_as_xyz
'x,y,z'
loop_
_atom_site_label
_atom_site_fract_x
_atom_site_fract_y
_atom_site_fract_z
Ba1 0.0000 0.0000 0.0000
Ga1 0.5000 0.5000 0.0000
Ag1 0.0000 0.5000 0.5000
Ag2 0.5000 0.0000 0.5000
Pt1 0.5000 0.5000 0.5000